DFT (PBE) results for a relaxed structure of FeReMo2.

Cell lengths 3.1437, 4.3325, 8.6445 Å; angles 90.00, 90.00, 90.00 degrees
Last column: nearest neighbours and their distance in Å.
Space group Cmm2 (No. 35)
Inequivalent atoms, fractional coordinates:
1 Fe 0.0000 0.0000 0.0000 x2  2 Re 2.58, 2 Mo 2.61, 4 Fe 2.68
2 Re 0.0000 0.5000 0.7631 x2  2 Fe 2.58, 4 Re 2.68, 2 Mo 2.74
3 Mo 0.0000 0.0000 0.5040 x2  6 Mo 2.68-2.76, 2 Re 2.74
4 Mo 0.0000 0.5000 0.2412 x2  2 Fe 2.61, 6 Mo 2.68-2.76

Summary:
The calculation puts the relative energy among the computed polymorphs at 0 meV/atom. The total energy is -10.555 eV per atom. The density of states at the Fermi level comes out at 5.41 states/eV per cell. The total magnetization is 4.48 μB per cell.

=====

DFT (PBE) results for a relaxed structure of K2AsAu.

Cell lengths 3.4045, 3.4045, 9.6225 Å; angles 90.00, 90.00, 90.00 degrees
Last column: nearest neighbours and their distance in Å.
Space group P4/mmm (No. 123)
Inequivalent atoms, fractional coordinates:
1 K 0.0000 0.0000 0.2486 x2  4 Au 3.39, 4 K 3.40, 4 As 3.41
2 As 0.5000 0.5000 0.5000 x1  4 As 3.40, 8 K 3.41
3 Au 0.5000 0.5000 0.0000 x1  8 K 3.39, 4 Au 3.40

Summary:
The total energy is -2.662 eV per atom. The density of states at the Fermi level comes out at 1.51 states/eV per cell. The total magnetization is 0.00 μB per cell.

=====

DFT (PBE) results for a relaxed structure of Th8RhAu2.

Cell lengths 14.6198, 7.0794, 6.3495 Å; angles 90.00, 96.29, 90.00 degrees
Last column: nearest neighbours and their distance in Å.
Space group C2/m (No. 12)
Inequivalent atoms, fractional coordinates:
1 Th 0.0901 0.2442 0.3384 x8  1 Rh 2.95, 2 Au 3.02-3.15
2 Th 0.0917 0.5000 0.8666 x4  1 Au 2.94
3 Th 0.1817 0.0000 0.8656 x4  1 Rh 2.88
4 Rh 0.0000 0.0000 0.0000 x2  6 Th 2.88-2.95
5 Au 0.2403 0.5000 0.5908 x4  6 Th 2.94-3.23

Summary:
The total energy is -6.885 eV per atom. The density of states at the Fermi level comes out at 27.29 states/eV per cell. The total magnetization is 0.00 μB per cell.

=====

DFT (PBE) results for a relaxed structure of AcNbAs.

Cell lengths 4.4925, 4.4925, 4.5678 Å; angles 90.00, 90.00, 120.00 degrees
Last column: nearest neighbours and their distance in Å.
Space group P-6m2 (No. 187)
Inequivalent atoms, fractional coordinates:
1 Ac 0.0000 0.0000 0.0000 x1  6 As 3.46, 6 Nb 3.46
2 Nb 0.6667 0.3333 0.5000 x1  3 As 2.59
3 As 0.3333 0.6667 0.5000 x1  3 Nb 2.59

Summary:
The total energy is -6.568 eV per atom. The density of states at the Fermi level comes out at 3.03 states/eV per cell. The total magnetization is 0.00 μB per cell.

=====

DFT (PBE) results for a relaxed structure of PmSm6Ho2Er.

Cell lengths 9.2197, 15.1931, 9.5878 Å; angles 90.00, 96.92, 90.00 degrees
Last column: nearest neighbours and their distance in Å.
Space group C2/c (No. 15)
Inequivalent atoms, fractional coordinates:
1 Pm 0.0000 0.0274 0.2500 x4  4 Ho 3.42-3.47, 4 Sm 3.59-3.68
2 Sm 0.0616 0.1805 0.9448 x8  7 Sm 3.44-3.77, 1 Ho 3.52, 2 Pm 3.68-3.83
3 Sm 0.0981 0.3902 0.1180 x8  4 Sm 3.25-3.59, 3 Ho 3.29-3.46, 2 Er 3.44-3.55
4 Sm 0.2129 0.2239 0.3145 x8  3 Sm 3.25-3.63, 1 Ho 3.45, 1 Er 3.46, 1 Pm 3.59
5 Ho 0.2476 0.4498 0.4530 x8  6 Sm 3.29-3.68, 2 Pm 3.42-3.47, 1 Er 3.52
6 Er 0.0000 0.4108 0.7500 x4  6 Sm 3.44-3.55, 2 Ho 3.52

Summary:
The total energy is -4.561 eV per atom. The density of states at the Fermi level comes out at 56.41 states/eV per cell. The total magnetization is 0.00 μB per cell.

=====

DFT (PBE) results for a relaxed structure of TbTm2Bi.

Cell lengths 4.0039, 4.0039, 7.3416 Å; angles 90.00, 90.00, 90.00 degrees
Last column: nearest neighbours and their distance in Å.
Space group P4/mmm (No. 123)
Inequivalent atoms, fractional coordinates:
1 Tb 0.0000 0.0000 0.0000 x1  8 Tm 3.45, 2 Bi 3.67
2 Tm 0.5000 0.5000 0.2688 x2  4 Bi 3.30, 1 Tm 3.39, 4 Tb 3.45
3 Bi 0.0000 0.0000 0.5000 x1  8 Tm 3.30, 2 Tb 3.67

Summary:
The calculation puts the relative energy among the computed polymorphs at 110 meV/atom. The total energy is -4.677 eV per atom. The density of states at the Fermi level comes out at 4.68 states/eV per cell. The total magnetization is 0.00 μB per cell.

=====

DFT (PBE) results for a relaxed structure of TaRu2Au.

Cell lengths 3.9131, 3.9131, 8.1571 Å; angles 90.00, 90.00, 90.00 degrees
Last column: nearest neighbours and their distance in Å.
Space group I-4m2 (No. 119)
Inequivalent atoms, fractional coordinates:
1 Ta 0.0000 0.0000 0.0000 x2  8 Ru 2.77-2.83, 4 Au 2.83
2 Ru 0.0000 0.0000 0.5000 x2  4 Ta 2.77, 4 Ru 2.83, 4 Au 2.83
3 Ru 0.0000 0.5000 0.2500 x2  4 Au 2.77, 4 Ta 2.83, 4 Ru 2.83
4 Au 0.0000 0.5000 0.7500 x2  8 Ru 2.77-2.83, 4 Ta 2.83

Summary:
The calculation puts the relative energy among the computed polymorphs at 99 meV/atom. The total energy is -8.479 eV per atom. The density of states at the Fermi level comes out at 8.35 states/eV per cell. The total magnetization is 0.00 μB per cell.

=====

DFT (PBE) results for a relaxed structure of NiBrCl2.

Cell lengths 3.1951, 9.2576, 9.0621 Å; angles 90.00, 90.00, 90.00 degrees
Last column: nearest neighbours and their distance in Å.
Space group Cmm2 (No. 35)
Inequivalent atoms, fractional coordinates:
1 Ni 0.0000 0.0000 0.0000 x2  2 Cl 2.18, 2 Br 2.29
2 Br 0.0000 0.5000 0.1809 x2  2 Ni 2.29
3 Cl 0.0000 0.0000 0.4823 x2  2 Br 3.16, 2 Cl 3.20
4 Cl 0.0000 0.5000 0.8368 x2  2 Ni 2.18

Summary:
The calculation puts the relative energy among the computed polymorphs at 288 meV/atom. The total energy is -2.886 eV per atom. The density of states at the Fermi level comes out at 6.79 states/eV per cell. The total magnetization is 1.10 μB per cell.